A relaxed structure of Na4CdAg4. Source: Alexandria via LeMat-Bulk, functional PBE-GGA.

```
data_Na4CdAg4
_chemical_formula_sum 'Na8 Cd2 Ag8'
_cell_length_a 5.9441
_cell_length_b 6.9181
_cell_length_c 11.7067
_cell_angle_alpha 90.00
_cell_angle_beta 90.00
_cell_angle_gamma 90.00
_space_group_name_H-M_alt 'I 2 2 2'
_space_group_IT_number 23
_space_group_name_Hall 'I 2 2'
loop_
_atom_site_label
_atom_site_type_symbol
_atom_site_fract_x
_atom_site_fract_y
_atom_site_fract_z
Na1 Na 0.1449 0.2375 0.1577
Cd1 Cd 0.0000 0.5000 0.5000
Ag1 Ag 0.1681 0.1477 0.4122
```

Summary:
For the raw total energy, the calculation gives -1.901 eV/atom. The calculation puts the total magnetization at 0.0 μB per cell.